Entry 1:
Here is an optimized crystal structure of YP2PdO from the Alexandria database. Energies are from PBE.

The raw formation energy is 0.213 eV/atom. As for the offset from the most stable computed form: 540 meV/atom. As for the density of states at the Fermi level: 5.464 states/eV/cell.

The structure belongs to space group P4/mmm (No. 123); the cell edges are 5.3726, 5.3726 and 4.1101 Å and the angles 90.00°, 90.00° and 90.00°. Symmetry generates all atoms from Y at (0.0000, 0.0000, 0.0000), P at (0.0000, 0.5000, 0.0000), Pd at (0.5000, 0.5000, 0.5000) and O at (0.0000, 0.0000, 0.5000).



Entry 2:
Here is an optimized crystal structure of YPPdO2 from the Alexandria database. Energies are from PBE.

The raw formation energy is -0.499 eV/atom. As for the offset from the most stable computed form: 248 meV/atom. As for the density of states at the Fermi level: 4.790 states/eV/cell.

The structure belongs to space group P4/mmm (No. 123); the cell edges are 4.1741, 4.1741 and 5.9647 Å and the angles 90.00°, 90.00° and 90.00°. Symmetry generates all atoms from Y at (0.0000, 0.0000, 0.0000), P at (0.0000, 0.0000, 0.5000), Pd at (0.5000, 0.5000, 0.5000) and O at (0.0000, 0.5000, 0.0000).



Entry 3:
Here is an optimized crystal structure of YP2PdO from the Alexandria database. Energies are from PBE.

The raw formation energy is -0.328 eV/atom. As for the offset from the most stable computed form: 0 meV/atom. As for the density of states at the Fermi level: 5.455 states/eV/cell.

The structure belongs to space group P4/mmm (No. 123); the cell edges are 4.7037, 4.7037 and 4.0605 Å and the angles 90.00°, 90.00° and 90.00°. Symmetry generates all atoms from Y at (0.0000, 0.0000, 0.0000), P at (0.0000, 0.5000, 0.5000), Pd at (0.5000, 0.5000, 0.5000) and O at (0.5000, 0.5000, 0.0000).



Entry 4:
Here is an optimized crystal structure of YPPdO2 from the Alexandria database. Energies are from PBE.

The raw formation energy is -0.747 eV/atom. As for the offset from the most stable computed form: 0 meV/atom. As for the density of states at the Fermi level: 4.916 states/eV/cell.

The structure belongs to space group P4/mmm (No. 123); the cell edges are 4.0860, 4.0860 and 4.6142 Å and the angles 90.00°, 90.00° and 90.00°. Symmetry generates all atoms from Y at (0.0000, 0.0000, 0.0000), P at (0.5000, 0.5000, 0.0000), Pd at (0.5000, 0.5000, 0.5000) and O at (0.0000, 0.5000, 0.5000).



Entry 5:
Here is an optimized crystal structure of ZnPPdO2 from the Alexandria database. Energies are from PBE.

The raw formation energy is 0.263 eV/atom. As for the offset from the most stable computed form: 15 meV/atom. As for the density of states at the Fermi level: 4.152 states/eV/cell.

The structure belongs to space group P4/mmm (No. 123); the cell edges are 3.6257, 3.6257 and 6.1160 Å and the angles 90.00°, 90.00° and 90.00°. Symmetry generates all atoms from Zn at (0.0000, 0.0000, 0.0000), P at (0.0000, 0.0000, 0.5000), Pd at (0.5000, 0.5000, 0.5000) and O at (0.0000, 0.5000, 0.0000).



Entry 6:
Here is an optimized crystal structure of ZnPPdO2 from the Alexandria database. Energies are from PBE.

The raw formation energy is 0.248 eV/atom. As for the offset from the most stable computed form: 0 meV/atom. As for the density of states at the Fermi level: 4.982 states/eV/cell.

The structure belongs to space group P4/mmm (No. 123); the cell edges are 3.8606, 3.8606 and 5.1121 Å and the angles 90.00°, 90.00° and 90.00°. Symmetry generates all atoms from Zn at (0.0000, 0.0000, 0.0000), P at (0.5000, 0.5000, 0.0000), Pd at (0.5000, 0.5000, 0.5000) and O at (0.0000, 0.5000, 0.5000).